12
Lattice="5.7394 0.0000 0.0000 1.0736 7.6286 0.0000 0.9891 0.4437 7.6327" Properties=species:S:1:pos:R:3 comment="GGA-PBE TcHgS4, optimized geometry" space_group="P-1, No. 2" total_magnetization_mub_per_fu=0.8 density_g_cm3=4.24 formation_energy_uncorrected_kj_per_mol_atoms=-6.8 pbc="T T T"
Tc 1.9293 0.3297 3.7037
Tc 5.8728 7.7427 3.9290
Hg 1.9719 3.7964 0.0205
Hg 5.8302 4.2759 7.6122
S 1.7502 7.3152 5.5926
S 2.2237 2.5137 4.6879
S 2.7113 6.8710 1.5682
S 4.2551 6.1019 4.4373
S 3.5470 1.9704 3.1954
S 5.0908 1.2013 6.0645
S 5.5784 5.5586 2.9448
S 6.0519 0.7572 2.0401

10
Lattice="4.6707 0.0000 0.0000 0.0000 4.6707 0.0000 0.0000 0.0000 12.7798" Properties=species:S:1:pos:R:3 comment="GGA-PBE HgTe2S2, optimized geometry" space_group="I4/mmm, No. 139" total_magnetization_mub_per_fu=0.0 density_g_cm3=6.19 formation_energy_uncorrected_kj_per_mol_atoms=34.4 pbc="T T T"
Hg 0.0000 0.0000 0.0000
Hg 2.3353 2.3353 6.3899
Te 0.0000 2.3353 3.1950
Te 0.0000 2.3353 9.5849
Te 2.3353 0.0000 3.1950
Te 2.3353 0.0000 9.5849
S 0.0000 0.0000 5.4278
S 0.0000 0.0000 7.3520
S 2.3353 2.3353 0.9621
S 2.3353 2.3353 11.8177

- Which formula does entry 1 have?
  TcHgS4